{"formula": "Tm6Bi5Te", "functional": "PBE", "state": "optimized geometry", "lattice_angstrom": [[7.553, 0.182, 1.146], [1.854, 6.405, 3.734], [0.127, 0.071, 7.637]], "species": ["Tm", "Tm", "Tm", "Tm", "Tm", "Tm", "Te", "Bi", "Bi", "Bi", "Bi", "Bi"], "fractional_positions": [[0.749, 0.084, 0.335], [0.251, 0.581, 0.335], [0.252, 0.251, 0.000], [0.748, 0.749, 0.000], [0.749, 0.419, 0.665], [0.251, 0.916, 0.665], [0.000, 0.000, 0.000], [0.500, 0.166, 0.668], [0.000, 0.333, 0.334], [0.500, 0.500, 0.000], [0.000, 0.667, 0.666], [0.500, 0.834, 0.332]], "raw_formation_energy_mev_per_atom": -869.5, "mass_density_g_cm3": 9.97, "final_energy_ev_per_atom": -4.98}

{"formula": "Tm5Bi2Te2", "functional": "PBE", "state": "optimized geometry", "lattice_angstrom": [[8.199, 0.000, 0.000], [0.000, 7.198, -3.700], [0.000, -0.125, 8.607]], "species": ["Tm", "Tm", "Tm", "Tm", "Tm", "Tm", "Tm", "Tm", "Tm", "Tm", "Bi", "Bi", "Bi", "Bi", "Te", "Te", "Te", "Te"], "fractional_positions": [[0.000, 0.000, 0.000], [0.500, 0.500, 0.000], [0.843, 0.786, 0.265], [0.157, 0.479, 0.265], [0.343, 0.979, 0.265], [0.657, 0.286, 0.265], [0.157, 0.214, 0.735], [0.843, 0.521, 0.735], [0.657, 0.021, 0.735], [0.343, 0.714, 0.735], [0.000, 0.200, 0.401], [0.500, 0.700, 0.401], [0.000, 0.800, 0.599], [0.500, 0.300, 0.599], [0.645, 0.853, 0.000], [0.355, 0.147, 0.000], [0.145, 0.647, 0.000], [0.855, 0.353, 0.000]], "raw_formation_energy_mev_per_atom": -803.2, "mass_density_g_cm3": 10.00, "final_energy_ev_per_atom": -4.85}

{"formula": "Tm8BiTe2", "functional": "PBE", "state": "optimized geometry", "lattice_angstrom": [[-0.161, -2.388, 5.350], [-6.791, -3.147, -2.853], [6.821, -3.349, -2.535]], "species": ["Tm", "Tm", "Tm", "Tm", "Tm", "Tm", "Tm", "Tm", "Bi", "Te", "Te"], "fractional_positions": [[0.865, 0.913, 0.681], [0.865, 0.681, 0.913], [0.300, 0.595, 0.595], [0.500, 0.755, 0.245], [0.500, 0.245, 0.755], [0.700, 0.405, 0.405], [0.135, 0.319, 0.087], [0.135, 0.087, 0.319], [0.500, 0.000, 0.000], [0.000, 0.305, 0.695], [0.000, 0.695, 0.305]], "raw_formation_energy_mev_per_atom": -409.0, "mass_density_g_cm3": 9.29, "final_energy_ev_per_atom": -4.59}

{"formula": "Tm5Bi5Te", "functional": "PBE", "state": "optimized geometry", "lattice_angstrom": [[6.147, 0.000, 0.000], [-3.074, 6.942, -0.095], [0.000, -2.708, 8.363]], "species": ["Tm", "Tm", "Tm", "Tm", "Tm", "Bi", "Bi", "Bi", "Bi", "Bi", "Te"], "fractional_positions": [[0.826, 0.653, 0.165], [0.831, 0.663, 0.665], [0.500, 0.000, 0.000], [0.169, 0.337, 0.335], [0.174, 0.347, 0.835], [0.657, 0.313, 0.340], [0.657, 0.314, 0.817], [0.000, 0.000, 0.500], [0.343, 0.686, 0.183], [0.343, 0.687, 0.660], [0.000, 0.000, 0.000]], "raw_formation_energy_mev_per_atom": -695.4, "mass_density_g_cm3": 9.43, "final_energy_ev_per_atom": -4.78}